{"formula": "ScBeC", "functional": "PBE", "state": "optimized geometry", "polymorph_energy_kj_per_mol_fu": 77.8, "space_group": "Immm", "volume_a3_per_cell": 70, "m_tot_mub_per_fu": 0.000, "delta_e_f_ev_per_atom": -0.21, "energy_ev_per_atom": -6.634, "lattice_angstrom": [[-1.6630, 1.8564, 5.6520], [1.6630, -1.8564, 5.6520], [1.6630, 1.8564, -5.6520]], "species": ["Sc", "Sc", "Be", "Be", "C", "C"], "fractional_positions": [[0.1636, 0.1636, 0.0000], [0.8364, 0.8364, 0.0000], [0.2628, 0.5000, 0.7628], [0.7372, 0.5000, 0.2372], [0.3636, 0.3636, 0.0000], [0.6364, 0.6364, 0.0000]]}

---

{"formula": "LaTiSe2", "functional": "PBE", "state": "optimized geometry", "polymorph_energy_kj_per_mol_fu": 51.4, "space_group": "I-42d", "volume_a3_per_cell": 245, "m_tot_mub_per_fu": 1.693, "raw_formation_energy_ev_per_atom": -1.0388, "energy_ev_per_atom": -5.987, "lattice_angstrom": [[-3.0774, 3.0774, 6.4726], [3.0774, -3.0774, 6.4726], [3.0774, 3.0774, -6.4726]], "species": ["La", "La", "Ti", "Ti", "Se", "Se", "Se", "Se"], "fractional_positions": [[0.0000, 0.0000, 0.0000], [0.7500, 0.2500, 0.5000], [0.2500, 0.7500, 0.5000], [0.5000, 0.5000, 0.0000], [0.1840, 0.6250, 0.0590], [0.3750, 0.4340, 0.5590], [0.5660, 0.1250, 0.9410], [0.8750, 0.8160, 0.4410]]}

---

{"formula": "MnReAs", "functional": "PBE", "state": "optimized geometry", "polymorph_energy_kj_per_mol_fu": 53.4, "space_group": "P3m1", "volume_a3_per_cell": 45, "m_tot_mub_per_fu": 2.543, "delta_e_f_ev_per_atom": 0.26, "energy_ev_per_atom": -8.497, "lattice_angstrom": [[4.2683, 0.0000, 0.0000], [-2.1341, 3.6964, 0.0000], [0.0000, 0.0000, 2.8228]], "species": ["Mn", "Re", "As"], "fractional_positions": [[0.0000, 0.0000, 0.0000], [0.3333, 0.6667, 0.4975], [0.6667, 0.3333, 0.4949]]}

---

{"formula": "RbHfBr2", "functional": "PBE", "state": "optimized geometry", "polymorph_energy_kj_per_mol_fu": 185.7, "space_group": "Fm-3m", "volume_a3_per_cell": 120, "m_tot_mub_per_fu": 2.742, "raw_formation_energy_ev_per_atom": -0.0921, "energy_ev_per_atom": -3.659, "lattice_angstrom": [[0.0000, 3.9194, 3.9194], [3.9194, 0.0000, 3.9194], [3.9194, 3.9194, 0.0000]], "species": ["Rb", "Hf", "Br", "Br"], "fractional_positions": [[0.0000, 0.0000, 0.0000], [0.5000, 0.5000, 0.5000], [0.2500, 0.2500, 0.2500], [0.7500, 0.7500, 0.7500]]}

---

{"formula": "Te4AsOs", "functional": "PBE", "state": "optimized geometry", "space_group": "F-43m", "volume_a3_per_cell": 164, "m_tot_mub_per_fu": 3.005, "raw_formation_energy_ev_per_atom": 1.5168, "energy_ev_per_atom": -3.224, "lattice_angstrom": [[0.0000, 4.3426, 4.3426], [4.3426, 0.0000, 4.3426], [4.3426, 4.3426, 0.0000]], "species": ["Te", "Te", "Te", "Te", "As", "Os"], "fractional_positions": [[0.1255, 0.1255, 0.1255], [0.1255, 0.1255, 0.6236], [0.1255, 0.6236, 0.1255], [0.6236, 0.1255, 0.1255], [0.7500, 0.7500, 0.7500], [0.5000, 0.5000, 0.5000]]}

---

{"formula": "NdZr2Sc", "functional": "PBE", "state": "optimized geometry", "polymorph_energy_kj_per_mol_fu": 23.5, "space_group": "P4/mmm", "volume_a3_per_cell": 103, "m_tot_mub_per_fu": 0.000, "delta_e_f_ev_per_atom": 0.18, "energy_ev_per_atom": -6.864, "lattice_angstrom": [[3.8159, 0.0000, 0.0000], [0.0000, 3.8159, 0.0000], [0.0000, 0.0000, 7.1061]], "species": ["Nd", "Zr", "Zr", "Sc"], "fractional_positions": [[0.0000, 0.0000, 0.0000], [0.5000, 0.5000, 0.2872], [0.5000, 0.5000, 0.7128], [0.0000, 0.0000, 0.5000]]}

---

{"formula": "Sm6Y2Tl", "functional": "PBE", "state": "optimized geometry", "space_group": "C2/m", "volume_a3_per_cell": 287, "m_tot_mub_per_fu": 0.001, "delta_e_f_ev_per_atom": 0.02, "energy_ev_per_atom": -4.828, "lattice_angstrom": [[8.4700, -4.8889, 0.0000], [8.4700, 4.8889, 0.0000], [-0.0063, 0.0000, 3.4709]], "species": ["Sm", "Sm", "Sm", "Sm", "Sm", "Sm", "Y", "Y", "Tl"], "fractional_positions": [[0.1738, 0.4999, 0.0029], [0.1741, 0.8259, 0.0000], [0.4999, 0.1738, 0.0029], [0.5001, 0.8262, 0.9971], [0.8259, 0.1741, 0.0000], [0.8262, 0.5001, 0.9971], [0.1666, 0.1666, 0.4998], [0.8334, 0.8334, 0.5002], [0.5000, 0.5000, 0.5000]]}

---

{"formula": "CaLa2Cr", "functional": "PBE", "state": "optimized geometry", "polymorph_energy_kj_per_mol_fu": 25.5, "space_group": "Imm2", "volume_a3_per_cell": 128, "m_tot_mub_per_fu": 3.205, "delta_e_f_ev_per_atom": 0.33, "energy_ev_per_atom": -5.039, "lattice_angstrom": [[-1.9405, 2.8393, 5.8231], [1.9405, -2.8393, 5.8231], [1.9405, 2.8393, -5.8231]], "species": ["Ca", "La", "La", "Cr"], "fractional_positions": [[0.0000, 0.0000, 0.0000], [0.4190, 0.4190, 0.0000], [0.7099, 0.2099, 0.5000], [0.2149, 0.7149, 0.5000]]}

---

{"formula": "NaBOs2C", "functional": "PBE", "state": "optimized geometry", "space_group": "P4/mmm", "volume_a3_per_cell": 72, "m_tot_mub_per_fu": 0.000, "delta_e_f_ev_per_atom": 1.82, "energy_ev_per_atom": -6.118, "lattice_angstrom": [[4.0034, 0.0000, 0.0000], [0.0000, 4.0034, 0.0000], [0.0000, 0.0000, 4.5106]], "species": ["Na", "B", "Os", "Os", "C"], "fractional_positions": [[0.0000, 0.0000, 0.0000], [0.0000, 0.0000, 0.5000], [0.0000, 0.5000, 0.5000], [0.5000, 0.0000, 0.5000], [0.5000, 0.5000, 0.0000]]}

---

{"formula": "Pa2Si2Pd3", "functional": "PBE", "state": "optimized geometry", "space_group": "C2/m", "volume_a3_per_cell": 128, "m_tot_mub_per_fu": 0.000, "raw_formation_energy_ev_per_atom": -0.6799, "energy_ev_per_atom": -7.168, "lattice_angstrom": [[5.1931, -1.9445, 0.0000], [5.1931, 1.9445, 0.0000], [-1.0788, 0.0000, 6.3535]], "species": ["Pa", "Pa", "Si", "Si", "Pd", "Pd", "Pd"], "fractional_positions": [[0.1315, 0.1315, 0.3244], [0.8685, 0.8685, 0.6756], [0.4159, 0.4159, 0.3493], [0.5841, 0.5841, 0.6507], [0.1892, 0.1892, 0.8566], [0.5000, 0.5000, 0.0000], [0.8108, 0.8108, 0.1434]]}

---

{"formula": "MnZn2Hg", "functional": "PBE", "state": "optimized geometry", "space_group": "Amm2", "volume_a3_per_cell": 66, "m_tot_mub_per_fu": 3.468, "delta_e_f_ev_per_atom": 0.18, "energy_ev_per_atom": -2.829, "lattice_angstrom": [[4.2029, 0.0000, 0.0000], [0.0000, 1.4362, 5.5039], [0.0000, -1.4362, 5.5039]], "species": ["Mn", "Zn", "Zn", "Hg"], "fractional_positions": [[0.0000, 0.0000, 0.0000], [0.0000, 0.7216, 0.7216], [0.5000, 0.5898, 0.5898], [0.5000, 0.3436, 0.3436]]}